No. 1
Material: KCrSi2
Method: DFT, GGA-PBEsol
State: relaxed Values from VASP.

The structure in Quantum ESPRESSO input format:
```
&SYSTEM
  ibrav = 0, nat = 4, ntyp = 3
/
ATOMIC_SPECIES
K 39.10 K.upf
Cr 52.00 Cr.upf
Si 28.09 Si.upf
ATOMIC_POSITIONS crystal
K 0.000 0.000 0.000
Cr 0.000 0.000 0.500
Si 0.500 0.500 0.337
Si 0.500 0.500 0.663
CELL_PARAMETERS angstrom
2.996 0.000 0.000
0.000 3.120 0.000
0.000 0.000 7.581
```

Results
* Fermi-level density of states: 2.8 states/eV per cell
* formation energy without anion corrections: 0.120 eV per atom
* calculated total energy: -5.597 eV per atom


No. 2
Material: LaCo2
Method: DFT, GGA-PBEsol
State: relaxed Values from VASP.

The structure in Quantum ESPRESSO input format:
```
&SYSTEM
  ibrav = 0, nat = 6, ntyp = 2
/
ATOMIC_SPECIES
La 138.91 La.upf
Co 58.93 Co.upf
ATOMIC_POSITIONS crystal
La 0.125 0.125 0.125
La 0.875 0.875 0.875
Co 0.000 0.500 0.500
Co 0.500 0.000 0.500
Co 0.500 0.500 0.000
Co 0.500 0.500 0.500
CELL_PARAMETERS angstrom
0.000 3.566 3.566
3.566 0.000 3.566
3.566 3.566 0.000
```

Results
* Fermi-level density of states: 7.6 states/eV per cell
* calculated total energy: -7.003 eV per atom
* calculated formation energy: -6.11 kJ/mol of atoms


No. 3
Material: BaMgTl2
Method: DFT, GGA-PBEsol
State: relaxed Values from VASP.

The structure in Quantum ESPRESSO input format:
```
&SYSTEM
  ibrav = 0, nat = 4, ntyp = 3
/
ATOMIC_SPECIES
Ba 137.33 Ba.upf
Mg 24.30 Mg.upf
Tl 204.38 Tl.upf
ATOMIC_POSITIONS crystal
Ba 0.000 0.000 0.000
Mg 0.193 0.193 0.193
Tl 0.543 0.543 0.543
Tl 0.782 0.782 0.782
CELL_PARAMETERS angstrom
2.456 1.418 6.252
-2.456 1.418 6.252
0.000 -2.836 6.252
```

Results
* Fermi-level density of states: 2.1 states/eV per cell
* calculated total energy: -2.539 eV per atom
* calculated formation energy: -24.84 kJ/mol of atoms


No. 4
Material: Tl3Cl
Method: DFT, GGA-PBEsol
State: relaxed Values from VASP.

The structure in Quantum ESPRESSO input format:
```
&SYSTEM
  ibrav = 0, nat = 4, ntyp = 2
/
ATOMIC_SPECIES
Tl 204.38 Tl.upf
Cl 35.45 Cl.upf
ATOMIC_POSITIONS crystal
Tl 0.000 0.000 0.000
Tl 0.000 0.500 0.500
Tl 0.500 0.000 0.500
Cl 0.500 0.500 0.000
CELL_PARAMETERS angstrom
3.539 -4.278 0.000
3.539 4.278 0.000
0.000 0.000 3.590
```

Results
* Fermi-level density of states: 1.4 states/eV per cell
* formation energy without anion corrections: -0.346 eV per atom
* calculated total energy: -2.820 eV per atom
* excess energy over the best structure of this formula in the dataset: 0 meV/atom